1.
Density functional theory data (PBE-GGA) for a relaxed CaIn8Bi6 crystal.

abc: 8.9954 8.9954 8.8460
angles: 59.44 59.44 60.00
Closest atoms and distances in Å follow each position.
Atoms (fractional coordinates):
Bi1 0.9297 0.2695 0.2115  6 In 3.13-3.34, 1 Ca 3.41
Bi2 0.0703 0.7305 0.7885  6 In 3.13-3.34, 1 Ca 3.41
Bi3 0.5893 0.9297 0.2115  6 In 3.13-3.34, 1 Ca 3.41
Bi4 0.7305 0.4107 0.7885  6 In 3.13-3.34, 1 Ca 3.41
Bi5 0.4107 0.0703 0.7885  6 In 3.13-3.34, 1 Ca 3.41
Bi6 0.2695 0.5893 0.2115  6 In 3.13-3.34, 1 Ca 3.41
In1 0.3328 0.3328 0.0016  6 Bi 3.33-3.34
In2 0.7917 0.1180 0.6487  4 Bi 3.13-3.17
In3 0.6672 0.6672 0.9984  6 Bi 3.33-3.34
In4 0.8820 0.5584 0.3513  4 Bi 3.13-3.17
In5 0.1180 0.4416 0.6487  4 Bi 3.13-3.17
In6 0.2083 0.8820 0.3513  4 Bi 3.13-3.17
In7 0.4416 0.7917 0.6487  4 Bi 3.13-3.17
In8 0.5584 0.2083 0.3513  4 Bi 3.13-3.17
Ca1 0.0000 0.0000 0.0000  6 Bi 3.41

Values from the calculation:
Its space group is R-3. As for the density of states at the Fermi level: 0.390 states/eV/atom. Its formation energy is -5 kJ per mole of atoms.


2.
Density functional theory data (PBE-GGA) for a relaxed Ca8In2Bi crystal.

abc: 5.4726 8.1682 9.5498
angles: 115.32 106.65 90.00
Closest atoms and distances in Å follow each position.
Atoms (fractional coordinates):
Bi1 0.5000 0.0000 0.0000  8 Ca 3.38-3.64
Ca1 0.6527 0.8745 0.3054  3 In 3.33-3.45, 1 Bi 3.38, 6 Ca 3.47-3.71
Ca2 0.3473 0.1255 0.6946  3 In 3.33-3.45, 1 Bi 3.38, 6 Ca 3.47-3.71
Ca3 0.8332 0.8331 0.6664  8 Ca 3.47-3.63, 2 In 3.62, 2 Bi 3.87
Ca4 0.3474 0.5692 0.6948  3 In 3.33-3.45, 1 Bi 3.38, 6 Ca 3.47-3.71
Ca5 0.6526 0.4308 0.3052  3 In 3.33-3.45, 1 Bi 3.38, 6 Ca 3.47-3.71
Ca6 0.0000 0.2932 0.9999  7 Ca 3.38-3.71, 2 In 3.52, 2 Bi 3.64
Ca7 0.1668 0.1669 0.3336  8 Ca 3.47-3.63, 2 In 3.62, 2 Bi 3.87
Ca8 0.0000 0.7068 0.0001  7 Ca 3.38-3.71, 2 In 3.52, 2 Bi 3.64
In1 0.1886 0.6885 0.3772  10 Ca 3.33-3.62
In2 0.8114 0.3115 0.6228  10 Ca 3.33-3.62

Values from the calculation:
Its space group is Immm. As for the density of states at the Fermi level: 0.735 states/eV/atom. Its formation energy is -33 kJ per mole of atoms.


3.
Density functional theory data (PBE-GGA) for a relaxed CaInBi crystal.

abc: 4.4064 4.4064 5.7582
angles: 112.50 112.50 90.00
Closest atoms and distances in Å follow each position.
Atoms (fractional coordinates):
Bi1 0.2769 0.2769 0.5537  5 In 3.16-3.54, 5 Ca 3.35-3.45
In1 0.9503 0.9503 0.9007  5 Bi 3.16-3.54, 5 Ca 3.17-3.54
Ca1 0.6228 0.6228 0.2456  5 In 3.17-3.54, 5 Bi 3.35-3.45

Values from the calculation:
Its space group is I4mm. As for the density of states at the Fermi level: 0.541 states/eV/atom. Its formation energy is -34 kJ per mole of atoms.


4.
Density functional theory data (PBE-GGA) for a relaxed Ca5InBi4 crystal.

abc: 5.4941 7.7302 11.8921
angles: 132.25 103.36 90.00
Closest atoms and distances in Å follow each position.
Atoms (fractional coordinates):
Ca1 0.5000 0.5000 0.0000  6 Bi 3.30-3.64
Ca2 0.1654 0.8524 0.3308  5 Bi 3.21-3.42
Ca3 0.1530 0.2993 0.3061  5 Bi 3.23-3.38
Ca4 0.8346 0.1476 0.6692  5 Bi 3.21-3.42
Ca5 0.8470 0.7007 0.6939  5 Bi 3.23-3.38
Bi1 0.6874 0.1258 0.3747  7 Ca 3.27-3.64
Bi2 0.0105 0.2873 0.0211  6 Ca 3.21-3.42, 2 In 3.43
Bi3 0.3126 0.8742 0.6253  7 Ca 3.27-3.64
Bi4 0.9895 0.7127 0.9789  6 Ca 3.21-3.42, 2 In 3.43
In1 0.5000 0.0000 0.0000  6 Bi 3.43-3.73, 4 Ca 3.76

Values from the calculation:
Its space group is C2/m. As for the density of states at the Fermi level: 0.450 states/eV/atom. Its formation energy is -62 kJ per mole of atoms.


5.
Density functional theory data (PBE-GGA) for a relaxed Ca3In2Bi4 crystal.

abc: 4.9194 7.0730 17.2871
angles: 90.00 90.00 90.00
Closest atoms and distances in Å follow each position.
Atoms (fractional coordinates):
In1 0.0000 0.8526 0.4098  4 Bi 2.98-3.06
In2 0.5000 0.3526 0.0902  4 Bi 2.98-3.06
In3 0.5000 0.6474 0.9098  4 Bi 2.98-3.06
In4 0.0000 0.1474 0.5902  4 Bi 2.98-3.06
Ca1 0.5000 0.5000 0.5000  6 Bi 3.22-3.38
Ca2 0.0000 0.3067 0.8056  5 Bi 3.24-3.47
Ca3 0.5000 0.1933 0.3056  5 Bi 3.24-3.47
Ca4 0.5000 0.8067 0.6944  5 Bi 3.24-3.47
Ca5 0.0000 0.6933 0.1944  5 Bi 3.24-3.47
Ca6 0.0000 0.0000 0.0000  6 Bi 3.22-3.38
Bi1 0.5000 0.2950 0.6767  2 In 3.06, 3 Ca 3.32-3.38
Bi2 0.0000 0.7950 0.8233  2 In 3.06, 3 Ca 3.32-3.38
Bi3 0.0000 0.7270 0.5767  2 In 2.98-3.02, 4 Ca 3.22-3.24
Bi4 0.5000 0.7050 0.3233  2 In 3.06, 3 Ca 3.32-3.38
Bi5 0.0000 0.2050 0.1767  2 In 3.06, 3 Ca 3.32-3.38
Bi6 0.5000 0.2270 0.9233  2 In 2.98-3.02, 4 Ca 3.22-3.24
Bi7 0.5000 0.7730 0.0767  2 In 2.98-3.02, 4 Ca 3.22-3.24
Bi8 0.0000 0.2730 0.4233  2 In 2.98-3.02, 4 Ca 3.22-3.24

Values from the calculation:
Its space group is Pnnm. As for the density of states at the Fermi level: 0.123 states/eV/atom. Its formation energy is -50 kJ per mole of atoms.


6.
Density functional theory data (PBE-GGA) for a relaxed Ca2InBi crystal.

abc: 5.5648 5.5648 5.5648
angles: 60.00 60.00 60.00
Closest atoms and distances in Å follow each position.
Atoms (fractional coordinates):
Bi1 0.5000 0.5000 0.5000  8 Ca 3.41
Ca1 0.2500 0.2500 0.2500  4 In 3.41, 4 Bi 3.41
Ca2 0.7500 0.7500 0.7500  4 In 3.41, 4 Bi 3.41
In1 0.0000 0.0000 0.0000  8 Ca 3.41

Values from the calculation:
Its space group is Fm-3m. As for the density of states at the Fermi level: 0.639 states/eV/atom. Its formation energy is -54 kJ per mole of atoms.


7.
Density functional theory data (PBE-GGA) for a relaxed CaInBi crystal.

abc: 3.5291 5.4775 5.4775
angles: 120.00 90.00 90.00
Closest atoms and distances in Å follow each position.
Atoms (fractional coordinates):
Ca1 0.6663 0.6667 0.3333  2 Ca 3.53, 6 In 3.62, 6 Bi 3.62
Bi1 0.1667 0.0000 0.0000  3 In 3.16, 2 Bi 3.53
In1 0.1669 0.3333 0.6667  3 Bi 3.16, 2 In 3.53

Values from the calculation:
Its space group is P-6m2. As for the density of states at the Fermi level: 0.435 states/eV/atom. Its formation energy is -36 kJ per mole of atoms.


8.
Density functional theory data (PBE-GGA) for a relaxed CaIn2Bi2 crystal.

abc: 4.7490 4.7490 8.0922
angles: 72.94 72.94 90.00
Closest atoms and distances in Å follow each position.
Atoms (fractional coordinates):
In1 0.4025 0.4025 0.1950  1 In 2.87
In2 0.5975 0.5975 0.8050  1 In 2.87
Bi1 0.2500 0.7500 0.5000  4 In 3.27, 4 Bi 3.36
Bi2 0.7500 0.2500 0.5000  4 In 3.27, 4 Bi 3.36
Ca1 0.0000 0.0000 0.0000  8 In 3.65

Values from the calculation:
Its space group is I4/mmm. As for the density of states at the Fermi level: 0.518 states/eV/atom. Its formation energy is -9 kJ per mole of atoms.


9.
Density functional theory data (PBE-GGA) for a relaxed Ca2In5Bi crystal.

abc: 4.6650 6.9326 13.5659
angles: 90.00 90.00 90.00
Closest atoms and distances in Å follow each position.
Atoms (fractional coordinates):
Bi1 0.0000 0.5000 0.0000  4 Ca 3.29, 8 In 3.40-3.49
Bi2 0.0000 0.0000 0.5000  4 Ca 3.29, 8 In 3.40-3.49
In1 0.0000 0.9807 0.7504  7 In 3.30-3.47, 4 Ca 3.37-3.43, 1 Bi 3.40
In2 0.5000 0.2708 0.3672  6 In 3.30-3.35, 4 Ca 3.35-3.53, 2 Bi 3.49
In3 0.0000 0.0000 0.0000  6 In 3.35-3.39, 4 Ca 3.38, 2 Bi 3.47
In4 0.5000 0.2292 0.8672  6 In 3.30-3.35, 4 Ca 3.35-3.53, 2 Bi 3.49
In5 0.0000 0.5193 0.2504  7 In 3.30-3.47, 4 Ca 3.37-3.43, 1 Bi 3.40
In6 0.0000 0.0193 0.2496  7 In 3.30-3.47, 4 Ca 3.37-3.43, 1 Bi 3.40
In7 0.0000 0.4807 0.7496  7 In 3.30-3.47, 4 Ca 3.37-3.43, 1 Bi 3.40
In8 0.5000 0.7292 0.6328  6 In 3.30-3.35, 4 Ca 3.35-3.53, 2 Bi 3.49
In9 0.0000 0.5000 0.5000  6 In 3.35-3.39, 4 Ca 3.38, 2 Bi 3.47
In10 0.5000 0.7708 0.1328  6 In 3.30-3.35, 4 Ca 3.35-3.53, 2 Bi 3.49
Ca1 0.5000 0.2384 0.6206  2 Bi 3.29, 10 In 3.35-3.53
Ca2 0.5000 0.7384 0.8794  2 Bi 3.29, 10 In 3.35-3.53
Ca3 0.5000 0.7616 0.3794  2 Bi 3.29, 10 In 3.35-3.53
Ca4 0.5000 0.2616 0.1206  2 Bi 3.29, 10 In 3.35-3.53

Values from the calculation:
Its space group is Pbam. As for the density of states at the Fermi level: 0.535 states/eV/atom. Its formation energy is -33 kJ per mole of atoms.


10.
Density functional theory data (PBE-GGA) for a relaxed CaInBi crystal.

abc: 6.6461 6.6103 8.5770
angles: 90.00 104.53 90.00
Closest atoms and distances in Å follow each position.
Atoms (fractional coordinates):
In1 0.7166 0.7823 0.5002  3 Bi 3.33-3.72, 4 In 3.33-3.35, 4 Ca 3.45-3.47
In2 0.2166 0.7177 0.5002  3 Bi 3.33-3.72, 4 In 3.33-3.35, 4 Ca 3.45-3.47
In3 0.2834 0.2177 0.4998  3 Bi 3.33-3.72, 4 In 3.33-3.35, 4 Ca 3.45-3.47
In4 0.7834 0.2823 0.4998  3 Bi 3.33-3.72, 4 In 3.33-3.35, 4 Ca 3.45-3.47
Bi1 0.0960 0.5012 0.8202  5 Ca 3.29-3.37, 2 In 3.33-3.37, 1 Bi 3.62
Bi2 0.9040 0.4988 0.1798  5 Ca 3.29-3.37, 2 In 3.33-3.37, 1 Bi 3.62
Bi3 0.4040 0.0012 0.1798  5 Ca 3.29-3.37, 2 In 3.33-3.37, 1 Bi 3.62
Bi4 0.5960 0.9988 0.8202  5 Ca 3.29-3.37, 2 In 3.33-3.37, 1 Bi 3.62
Ca1 0.0966 0.0001 0.8038  5 Bi 3.29-3.37, 4 In 3.45-3.47
Ca2 0.4034 0.5001 0.1962  5 Bi 3.29-3.37, 4 In 3.45-3.47
Ca3 0.5966 0.4999 0.8038  5 Bi 3.29-3.37, 4 In 3.45-3.47
Ca4 0.9034 0.9999 0.1962  5 Bi 3.29-3.37, 4 In 3.45-3.47

Values from the calculation:
Its space group is P2_1/c. As for the density of states at the Fermi level: 0.444 states/eV/atom. Its formation energy is -45 kJ per mole of atoms.


11.
Density functional theory data (PBE-GGA) for a relaxed Ca3In2Bi4 crystal.

abc: 7.1445 9.4318 9.4318
angles: 75.99 93.53 93.53
Closest atoms and distances in Å follow each position.
Atoms (fractional coordinates):
Bi1 0.9477 0.7485 0.5468  2 In 2.94-2.95, 2 Ca 3.20-3.25
Bi2 0.5523 0.4532 0.2515  2 In 2.94-2.95, 2 Ca 3.20-3.25
Bi3 0.0523 0.2515 0.4532  2 In 2.94-2.95, 2 Ca 3.20-3.25
Bi4 0.5648 0.0669 0.7509  2 In 3.04-3.08, 2 Ca 3.29-3.37
Bi5 0.0648 0.7509 0.0669  2 In 3.04-3.08, 2 Ca 3.29-3.37
Bi6 0.9352 0.2491 0.9331  2 In 3.04-3.08, 2 Ca 3.29-3.37
Bi7 0.4477 0.5468 0.7485  2 In 2.94-2.95, 2 Ca 3.20-3.25
Bi8 0.4352 0.9331 0.2491  2 In 3.04-3.08, 2 Ca 3.29-3.37
In1 0.0669 0.5731 0.8377  4 Bi 2.94-3.08, 1 In 3.22
In2 0.9331 0.4269 0.1623  4 Bi 2.94-3.08, 1 In 3.22
In3 0.5669 0.8377 0.5731  4 Bi 2.94-3.08, 1 In 3.22
In4 0.4331 0.1623 0.4269  4 Bi 2.94-3.08, 1 In 3.22
Ca1 0.7500 0.4028 0.5972  6 Bi 3.20-3.41
Ca2 0.0431 0.9885 0.7478  5 Bi 3.25-3.54
Ca3 0.4569 0.2522 0.0115  5 Bi 3.25-3.54
Ca4 0.2500 0.5972 0.4028  6 Bi 3.20-3.41
Ca5 0.5431 0.7478 0.9885  5 Bi 3.25-3.54
Ca6 0.9569 0.0115 0.2522  5 Bi 3.25-3.54

Values from the calculation:
Its space group is C2/c. As for the density of states at the Fermi level: 0.070 states/eV/atom. Its formation energy is -44 kJ per mole of atoms.


12.
Density functional theory data (PBE-GGA) for a relaxed Ca2InBi crystal.

abc: 4.0482 4.0482 7.3975
angles: 90.00 90.00 90.00
Closest atoms and distances in Å follow each position.
Atoms (fractional coordinates):
Ca1 0.0000 0.0000 0.2537  4 Bi 3.39, 4 In 3.42, 2 Ca 3.64-3.75
Ca2 0.0000 0.0000 0.7463  4 Bi 3.39, 4 In 3.42, 2 Ca 3.64-3.75
Bi1 0.5000 0.5000 0.5000  8 Ca 3.39, 2 In 3.70
In1 0.5000 0.5000 0.0000  8 Ca 3.42, 2 Bi 3.70

Values from the calculation:
Its space group is P4/mmm. As for the density of states at the Fermi level: 0.520 states/eV/atom. Its formation energy is -57 kJ per mole of atoms.


> What is the formation energy in the fifth record?

-50 kJ per mole of atoms